1.
The following is a DFT calculation (PBE) of a relaxed Sr4Pa3TiAs8 crystal.

Values from the calculation:
Calculated formation energy, eV/atom: -1.080
Magnetization, Bohr magnetons per cell: 1.81

a b c (Å): 8.3500 8.5869 8.3502
angles (deg): 119.09 120.00 90.00
Last column: nearest neighbours and their distance in Å.
Fractional coordinates of all 16 atoms:
As: 0.7403 0.7209 0.4806  3 Pa 2.88, 3 Sr 3.12
Sr: 0.0000 0.0000 0.0000  6 As 3.12-3.14
Pa: 0.5000 0.5000 0.5000  6 As 2.87-2.88
As: 0.7676 0.2881 0.0205  1 Ti 2.78, 2 Pa 2.87
As: 0.2325 0.7120 0.4650  1 Ti 2.78, 2 Pa 2.87
As: 0.7471 0.7119 0.9795  1 Ti 2.78, 2 Pa 2.87
Pa: 0.0000 0.5000 0.5000  6 As 2.87-2.88
As: 0.2529 0.2881 0.0205  1 Ti 2.78, 2 Pa 2.87
As: 0.7675 0.2880 0.5350  1 Ti 2.78, 2 Pa 2.87
Pa: 0.5000 0.5000 0.0000  6 As 2.87-2.88
Ti: 0.0000 0.5000 0.0000  6 As 2.78
As: 0.2324 0.7119 0.9795  1 Ti 2.78, 2 Pa 2.87
As: 0.2597 0.2791 0.5194  3 Pa 2.88, 3 Sr 3.12
Sr: 0.0000 0.0000 0.5000  6 As 3.12-3.14
Sr: 0.5000 0.0000 0.0000  6 As 3.22
Sr: 0.5000 0.0000 0.5000  6 As 3.12-3.14

2.
The following is a DFT calculation (PBE) of a relaxed Ac2CeBi crystal.

Values from the calculation:
Calculated formation energy, eV/atom: 0.121
Magnetization, Bohr magnetons per cell: 1.67

a b c (Å): 3.7120 3.7120 13.0532
angles (deg): 81.83 81.83 60.00
Last column: nearest neighbours and their distance in Å.
Fractional coordinates of all 4 atoms:
Ce: 0.0000 0.0000 0.0000  2 Ac 3.55, 6 Ce 3.71
Bi: 0.5000 0.5000 0.5000  6 Ac 3.59, 6 Bi 3.71
Ac: 0.0920 0.0920 0.7241  1 Ce 3.55, 3 Bi 3.59, 6 Ac 3.71
Ac: 0.9080 0.9080 0.2759  1 Ce 3.55, 3 Bi 3.59, 6 Ac 3.71